DFT (PBE) results for Pm6Zn5Pd after structural relaxation.

```
12
Lattice="4.9525 0.0214 -1.4447 -1.0020 6.4144 -3.3402 -0.0830 0.4801 8.9265" Properties=species:S:1:pos:R:3 pbc="T T T"
Zn 3.1403 1.3065 1.5673
Zn 1.2566 2.4572 4.3424
Zn -0.5010 3.2072 -1.6701
Zn 2.6110 4.4587 -0.2009
Zn 0.7272 5.6094 2.5743
Pd 0.0000 0.0000 0.0000
Pm 3.4916 4.1131 2.8159
Pm 3.9985 0.8691 4.5052
Pm 1.6377 5.3264 5.6861
Pm 2.2298 1.5895 -1.5445
Pm -0.1309 6.0467 -0.3637
Pm 0.3759 2.8028 1.3256
```

Results
Energy of formation: -393 meV/atom